The following is a DFT calculation (GGA-PBE) of GdAl2Hg after structural relaxation.

Lattice parameters (Å, degrees): 6.302 6.302 4.827 90.00 90.00 117.35
Sites, in units of the cell vectors:
Gd (0.156, 0.844, 0.750)
Gd (0.844, 0.156, 0.250)
Al (0.207, 0.356, 0.750)
Al (0.356, 0.207, 0.250)
Al (0.644, 0.793, 0.750)
Al (0.793, 0.644, 0.250)
Hg (0.333, 0.667, 0.250)
Hg (0.667, 0.333, 0.750)

The following is a DFT calculation (GGA-PBE) of Li2HfZrAl2Ni2 after structural relaxation.

Lattice parameters (Å, degrees): 4.325 4.325 6.116 90.00 90.00 90.00
Sites, in units of the cell vectors:
Li (0.000, 0.500, 0.250)
Li (0.500, 0.000, 0.750)
Hf (0.000, 0.000, 0.000)
Zr (0.500, 0.500, 0.500)
Al (0.000, 0.000, 0.500)
Al (0.500, 0.500, 0.000)
Ni (0.000, 0.500, 0.752)
Ni (0.500, 0.000, 0.248)

The following is a DFT calculation (GGA-PBE) of ErHfPO after structural relaxation.

Properties
**Energy relative to the lowest polymorph listed for this composition**: 0.0 kJ per mole of atoms

Lattice parameters (Å, degrees): 4.106 4.106 8.385 90.00 90.00 90.00
Sites, in units of the cell vectors:
Er (0.250, 0.250, 0.115)
Er (0.750, 0.750, 0.885)
Hf (0.250, 0.750, 0.500)
Hf (0.750, 0.250, 0.500)
P (0.250, 0.250, 0.687)
P (0.750, 0.750, 0.313)
O (0.250, 0.750, 0.000)
O (0.750, 0.250, 0.000)

Raw total energy (eV/atom)
-3.4548 -5.6022 -8.2110